P) {"formula": "CaLa4Mg2", "functional": "PBE", "state": "relaxed", "magnetic_moment_mub_per_atom": 0.000, "rho_g_cm3": 4.4, "n_ef_per_ev_atom": 1.312, "cell": [[0.882, -1.806, 5.349], [3.986, -3.955, 1.060], [7.423, 4.225, 3.255]], "species": ["Mg", "Mg", "La", "La", "La", "La", "Ca"], "fractional_positions": [[0.710, 0.710, 0.871], [0.290, 0.290, 0.129], [0.427, 0.427, 0.719], [0.159, 0.159, 0.523], [0.573, 0.573, 0.281], [0.841, 0.841, 0.477], [0.000, 0.000, 0.000]]}



Q) {"formula": "CaLa4Mg2", "functional": "PBE", "state": "relaxed", "magnetic_moment_mub_per_atom": 0.004, "rho_g_cm3": 3.9, "n_ef_per_ev_atom": 1.535, "cell": [[-4.686, -1.856, 2.874], [3.210, -0.699, 4.782], [-2.411, 6.431, 6.078]], "species": ["Mg", "Mg", "La", "La", "La", "La", "Ca"], "fractional_positions": [[0.393, 0.393, 0.213], [0.607, 0.607, 0.787], [0.000, 0.500, 0.000], [0.808, 0.808, 0.384], [0.500, 0.000, 0.000], [0.192, 0.192, 0.616], [0.000, 0.000, 0.000]]}



Relative to the most stable structure, the computed energies are P) 0; Q) 631, all in meV/atom.



P) {"formula": "CaLa6Mg2", "functional": "PBE", "state": "relaxed", "magnetic_moment_mub_per_atom": 0.000, "rho_g_cm3": 4.7, "n_ef_per_ev_atom": 1.291, "cell": [[-0.426, -0.278, 5.009], [-4.502, -2.197, -0.505], [5.653, -11.548, -0.161]], "species": ["Ca", "Mg", "Mg", "La", "La", "La", "La", "La", "La"], "fractional_positions": [[0.000, 0.000, 0.000], [0.500, 0.500, 0.111], [0.500, 0.500, 0.889], [0.000, 0.000, 0.500], [0.500, 0.000, 0.292], [0.500, 0.000, 0.708], [0.500, 0.500, 0.500], [0.000, 0.500, 0.708], [0.000, 0.500, 0.292]]}



Q) {"formula": "CaLa6Mg2", "functional": "PBE", "state": "relaxed", "magnetic_moment_mub_per_atom": 0.000, "rho_g_cm3": 4.9, "n_ef_per_ev_atom": 1.096, "cell": [[-2.302, 2.999, 0.969], [-6.522, -2.641, 0.539], [-1.473, -2.456, 11.964]], "species": ["La", "La", "La", "La", "La", "La", "Ca", "Mg", "Mg"], "fractional_positions": [[0.310, 0.793, 0.587], [0.690, 0.207, 0.413], [0.985, 0.689, 0.340], [0.312, 0.501, 0.875], [0.688, 0.499, 0.125], [0.015, 0.311, 0.660], [0.000, 0.000, 0.000], [0.645, 0.917, 0.793], [0.355, 0.083, 0.207]]}



Relative to the most stable structure, the computed energies are P) 107; Q) 0, all in meV/atom.



P) {"formula": "CaLa2Mg2", "functional": "PBE", "state": "relaxed", "magnetic_moment_mub_per_atom": 0.000, "rho_g_cm3": 3.8, "n_ef_per_ev_atom": 1.279, "cell": [[-0.836, -1.936, -3.123], [-3.745, -3.140, 2.950], [-10.441, 10.883, -1.673]], "species": ["Mg", "Mg", "Mg", "Mg", "La", "La", "La", "La", "Ca", "Ca"], "fractional_positions": [[0.446, 0.750, 0.890], [0.554, 0.250, 0.110], [0.638, 0.750, 0.275], [0.362, 0.250, 0.725], [0.958, 0.250, 0.912], [0.042, 0.750, 0.088], [0.235, 0.750, 0.468], [0.765, 0.250, 0.532], [0.850, 0.750, 0.700], [0.150, 0.250, 0.300]]}



Q) {"formula": "CaLa2Mg2", "functional": "PBE", "state": "relaxed", "magnetic_moment_mub_per_atom": 0.000, "rho_g_cm3": 3.5, "n_ef_per_ev_atom": 0.734, "cell": [[-2.722, -1.673, 3.546], [-1.170, -3.774, -2.679], [4.096, -6.592, 3.246]], "species": ["La", "La", "Ca", "Mg", "Mg"], "fractional_positions": [[0.598, 0.598, 0.804], [0.402, 0.402, 0.196], [0.000, 0.000, 0.000], [0.250, 0.750, 0.500], [0.750, 0.250, 0.500]]}



Relative to the most stable structure, the computed energies are P) 0; Q) 325, all in meV/atom.



P) {"formula": "CaLa2Mg2", "functional": "PBE", "state": "relaxed", "magnetic_moment_mub_per_atom": 0.000, "rho_g_cm3": 3.7, "n_ef_per_ev_atom": 1.246, "cell": [[9.582, 0.000, 0.000], [0.000, 9.582, 0.000], [0.000, 0.000, 3.625]], "species": ["La", "La", "La", "La", "Ca", "Ca", "Mg", "Mg", "Mg", "Mg"], "fractional_positions": [[0.116, 0.384, 0.000], [0.384, 0.884, 0.000], [0.884, 0.616, 0.000], [0.616, 0.116, 0.000], [0.500, 0.500, 0.000], [0.000, 0.000, 0.000], [0.822, 0.322, 0.500], [0.678, 0.822, 0.500], [0.178, 0.678, 0.500], [0.322, 0.178, 0.500]]}



Q) {"formula": "CaLa2Mg2", "functional": "PBE", "state": "relaxed", "magnetic_moment_mub_per_atom": 0.000, "rho_g_cm3": 3.6, "n_ef_per_ev_atom": 1.329, "cell": [[-6.387, -6.605, -2.874], [7.148, -6.288, -1.433], [-0.336, -1.160, 3.413]], "species": ["Mg", "Mg", "Mg", "Mg", "Ca", "Ca", "La", "La", "La", "La"], "fractional_positions": [[0.620, 0.120, 0.000], [0.880, 0.620, 0.000], [0.120, 0.380, 0.000], [0.380, 0.880, 0.000], [0.000, 0.000, 0.000], [0.500, 0.500, 0.000], [0.327, 0.173, 0.500], [0.673, 0.827, 0.500], [0.173, 0.673, 0.500], [0.827, 0.327, 0.500]]}



Relative to the most stable structure, the computed energies are P) 41; Q) 0, all in meV/atom.



P) {"formula": "Ca2LaMgNi", "functional": "PBE", "state": "relaxed", "magnetic_moment_mub_per_atom": 0.000, "rho_g_cm3": 3.1, "n_ef_per_ev_atom": 0.936, "cell": [[5.564, 0.000, 0.000], [0.000, 5.564, 0.000], [0.000, 0.000, 5.287]], "species": ["Ni", "Ca", "Ca", "Mg", "La"], "fractional_positions": [[0.000, 0.000, 0.000], [0.000, 0.500, 0.000], [0.500, 0.000, 0.000], [0.500, 0.500, 0.500], [0.000, 0.000, 0.500]]}



Q) {"formula": "Ca2LaMgNi", "functional": "PBE", "state": "relaxed", "magnetic_moment_mub_per_atom": 0.000, "rho_g_cm3": 3.4, "n_ef_per_ev_atom": 0.834, "cell": [[-4.931, -1.772, -1.051], [-0.174, -2.360, 4.792], [-2.006, 4.354, 2.071]], "species": ["Ca", "Ca", "Mg", "La", "Ni"], "fractional_positions": [[0.000, 0.500, 0.000], [0.500, 0.000, 0.000], [0.000, 0.000, 0.500], [0.500, 0.500, 0.500], [0.000, 0.000, 0.000]]}



Relative to the most stable structure, the computed energies are P) 0; Q) 121, all in meV/atom.



P) {"formula": "CaLa2MgOs", "functional": "PBE", "state": "relaxed", "magnetic_moment_mub_per_atom": 0.000, "rho_g_cm3": 5.3, "n_ef_per_ev_atom": 1.038, "cell": [[5.543, 0.000, 0.000], [0.000, 5.543, 0.000], [0.000, 0.000, 5.419]], "species": ["Os", "La", "La", "Mg", "Ca"], "fractional_positions": [[0.000, 0.000, 0.000], [0.000, 0.500, 0.000], [0.500, 0.000, 0.000], [0.000, 0.000, 0.500], [0.500, 0.500, 0.500]]}



Q) {"formula": "CaLa2MgOs", "functional": "PBE", "state": "relaxed", "magnetic_moment_mub_per_atom": 0.000, "rho_g_cm3": 5.0, "n_ef_per_ev_atom": 0.812, "cell": [[-3.074, -1.214, 4.416], [-0.325, -5.247, -1.669], [4.770, -1.243, 2.979]], "species": ["Ca", "Mg", "La", "La", "Os"], "fractional_positions": [[0.000, 0.000, 0.500], [0.500, 0.500, 0.500], [0.500, 0.000, 0.000], [0.000, 0.500, 0.000], [0.000, 0.000, 0.000]]}



Relative to the most stable structure, the computed energies are P) 0; Q) 10, all in meV/atom.



P) {"formula": "Ca2LaMgPd", "functional": "PBE", "state": "relaxed", "magnetic_moment_mub_per_atom": 0.000, "rho_g_cm3": 3.3, "n_ef_per_ev_atom": 0.876, "cell": [[-5.228, 0.822, 1.942], [-0.574, -5.550, 0.805], [2.012, 0.544, 5.186]], "species": ["Ca", "Ca", "Mg", "La", "Pd"], "fractional_positions": [[0.500, 0.000, 0.000], [0.000, 0.500, 0.000], [0.500, 0.500, 0.500], [0.000, 0.000, 0.500], [0.000, 0.000, 0.000]]}



Q) {"formula": "Ca2LaMgPd", "functional": "PBE", "state": "relaxed", "magnetic_moment_mub_per_atom": 0.000, "rho_g_cm3": 3.6, "n_ef_per_ev_atom": 0.854, "cell": [[5.482, 0.000, 0.000], [0.000, 5.307, 0.000], [0.000, 0.000, 5.482]], "species": ["Ca", "Ca", "La", "Mg", "Pd"], "fractional_positions": [[0.500, 0.000, 0.000], [0.000, 0.000, 0.500], [0.500, 0.500, 0.500], [0.000, 0.500, 0.000], [0.000, 0.000, 0.000]]}



Relative to the most stable structure, the computed energies are P) 0; Q) 56, all in meV/atom.



P) {"formula": "Ca2LaMgPt", "functional": "PBE", "state": "relaxed", "magnetic_moment_mub_per_atom": 0.000, "rho_g_cm3": 4.1, "n_ef_per_ev_atom": 0.843, "cell": [[-4.474, 3.106, 1.492], [-2.569, -1.379, -4.836], [-2.263, -4.446, 2.470]], "species": ["Pt", "Ca", "Ca", "La", "Mg"], "fractional_positions": [[0.000, 0.000, 0.000], [0.000, 0.500, 0.000], [0.500, 0.000, 0.000], [0.000, 0.000, 0.500], [0.500, 0.500, 0.500]]}



Q) {"formula": "Ca2LaMgPt", "functional": "PBE", "state": "relaxed", "magnetic_moment_mub_per_atom": 0.066, "rho_g_cm3": 3.9, "n_ef_per_ev_atom": 1.085, "cell": [[-4.456, 0.460, -4.084], [3.431, -0.277, -3.774], [-0.561, -6.036, -0.067]], "species": ["Ca", "Ca", "Pt", "Mg", "La"], "fractional_positions": [[0.000, 0.000, 0.500], [0.500, 0.000, 0.000], [0.000, 0.500, 0.000], [0.500, 0.500, 0.500], [0.000, 0.000, 0.000]]}



Relative to the most stable structure, the computed energies are P) 0; Q) 984, all in meV/atom.



P) {"formula": "CaLaMg2Rh", "functional": "PBE", "state": "relaxed", "magnetic_moment_mub_per_atom": 0.000, "rho_g_cm3": 3.7, "n_ef_per_ev_atom": 0.745, "cell": [[-0.626, -0.186, -5.238], [-1.096, -5.154, 0.314], [-5.107, 1.121, 0.570]], "species": ["Ca", "Mg", "Mg", "Rh", "La"], "fractional_positions": [[0.500, 0.500, 0.500], [0.000, 0.500, 0.000], [0.500, 0.000, 0.000], [0.000, 0.000, 0.000], [0.000, 0.000, 0.500]]}



Q) {"formula": "CaLaMg2Rh", "functional": "PBE", "state": "relaxed", "magnetic_moment_mub_per_atom": 0.000, "rho_g_cm3": 4.0, "n_ef_per_ev_atom": 0.921, "cell": [[5.125, 0.000, 0.000], [0.000, 5.125, 0.000], [0.000, 0.000, 5.234]], "species": ["Ca", "Mg", "Mg", "La", "Rh"], "fractional_positions": [[0.000, 0.000, 0.500], [0.500, 0.000, 0.000], [0.000, 0.500, 0.000], [0.500, 0.500, 0.500], [0.000, 0.000, 0.000]]}



Relative to the most stable structure, the computed energies are P) 0; Q) 144, all in meV/atom.



P) {"formula": "Ca2LaMgRh", "functional": "PBE", "state": "relaxed", "magnetic_moment_mub_per_atom": 0.000, "rho_g_cm3": 3.4, "n_ef_per_ev_atom": 0.869, "cell": [[5.604, 0.000, 0.000], [0.000, 5.604, 0.000], [0.000, 0.000, 5.435]], "species": ["Ca", "Ca", "La", "Rh", "Mg"], "fractional_positions": [[0.000, 0.500, 0.000], [0.500, 0.000, 0.000], [0.000, 0.000, 0.500], [0.000, 0.000, 0.000], [0.500, 0.500, 0.500]]}



Q) {"formula": "Ca2LaMgRh", "functional": "PBE", "state": "relaxed", "magnetic_moment_mub_per_atom": 0.000, "rho_g_cm3": 3.8, "n_ef_per_ev_atom": 1.092, "cell": [[-2.157, 0.290, 4.945], [-3.745, -3.625, -1.421], [3.146, -3.878, 1.600]], "species": ["Rh", "Ca", "Ca", "La", "Mg"], "fractional_positions": [[0.000, 0.000, 0.000], [0.000, 0.500, 0.000], [0.500, 0.000, 0.000], [0.500, 0.500, 0.500], [0.000, 0.000, 0.500]]}



Relative to the most stable structure, the computed energies are P) 0; Q) 150, all in meV/atom.



P) {"formula": "CaLa2MgRh", "functional": "PBE", "state": "relaxed", "magnetic_moment_mub_per_atom": 0.000, "rho_g_cm3": 4.5, "n_ef_per_ev_atom": 0.792, "cell": [[5.547, 0.000, 0.000], [0.000, 5.547, 0.000], [0.000, 0.000, 5.388]], "species": ["Ca", "La", "La", "Mg", "Rh"], "fractional_positions": [[0.500, 0.500, 0.500], [0.500, 0.000, 0.000], [0.000, 0.500, 0.000], [0.000, 0.000, 0.500], [0.000, 0.000, 0.000]]}



Q) {"formula": "CaLa2MgRh", "functional": "PBE", "state": "relaxed", "magnetic_moment_mub_per_atom": 0.000, "rho_g_cm3": 4.3, "n_ef_per_ev_atom": 0.937, "cell": [[-3.509, 0.989, 4.135], [3.599, -2.163, 3.572], [2.341, 5.145, 0.756]], "species": ["La", "La", "Mg", "Ca", "Rh"], "fractional_positions": [[0.000, 0.500, 0.000], [0.500, 0.000, 0.000], [0.500, 0.500, 0.500], [0.000, 0.000, 0.500], [0.000, 0.000, 0.000]]}



Relative to the most stable structure, the computed energies are P) 0; Q) 25, all in meV/atom.



P) {"formula": "CaLaMg2Ru", "functional": "PBE", "state": "relaxed", "magnetic_moment_mub_per_atom": 0.000, "rho_g_cm3": 3.8, "n_ef_per_ev_atom": 0.795, "cell": [[-2.279, 4.415, 1.896], [-4.018, -0.601, -3.431], [-2.539, -2.798, 3.463]], "species": ["Mg", "Mg", "Ca", "La", "Ru"], "fractional_positions": [[0.500, 0.000, 0.000], [0.000, 0.500, 0.000], [0.500, 0.500, 0.500], [0.000, 0.000, 0.500], [0.000, 0.000, 0.000]]}



Q) {"formula": "CaLaMg2Ru", "functional": "PBE", "state": "relaxed", "magnetic_moment_mub_per_atom": 0.023, "rho_g_cm3": 3.1, "n_ef_per_ev_atom": 1.806, "cell": [[5.541, 0.000, 0.000], [0.000, 5.755, 0.000], [0.000, 0.000, 5.541]], "species": ["La", "Ca", "Mg", "Mg", "Ru"], "fractional_positions": [[0.000, 0.000, 0.000], [0.000, 0.500, 0.000], [0.500, 0.000, 0.000], [0.000, 0.000, 0.500], [0.500, 0.500, 0.500]]}



Relative to the most stable structure, the computed energies are P) 0; Q) 2027, all in meV/atom.